The following is a PBE with a Hubbard U calculation of a relaxed structure of TlTeMoF2, from the Alexandria database.

Calculated values
The size of the total moment comes out at 3.11 μB/cell. Its space-group type is P4/mmm (123). For the total energy, the calculation gives -4.541 eV per atom.

a b c (Å): 4.427 4.427 5.947
angles (deg): 90.00 90.00 90.00
Site moments in Bohr magnetons follow the coordinates.
Sites, in units of the cell vectors:
Tl: 0.500 0.500 0.500  -0.06
Te: 0.000 0.000 0.500  -0.19
Mo: 0.000 0.000 0.000  3.18
F: 0.000 0.500 0.000  0.03
F: 0.500 0.000 0.000  0.03